Entry 1:
Here is a relaxed BaLiNiBi crystal from OQMD via LeMat-Bulk. Energies are from PBE-GGA.

Output
Polymorph energy (0 for the lowest one) = 25.6 kJ/mol of atoms

a b c (Å): 7.6037 7.6037 7.6037
angles (deg): 90.00 90.00 90.00
With the nearest neighbours (Å) after each atom.
Space group F-43m (No. 216)
Asymmetric unit:
Ba 0.0000 0.0000 0.0000 x4  4 Bi 3.29, 4 Ni 3.29
Li 0.0000 0.0000 0.5000 x4  4 Bi 3.29, 4 Ni 3.29
Ni 0.2500 0.2500 0.7500 x4  4 Ba 3.29, 4 Li 3.29
Bi 0.2500 0.2500 0.2500 x4  4 Ba 3.29, 4 Li 3.29

---

Entry 2:
Here is a relaxed ZnCdSO crystal from OQMD via LeMat-Bulk. Energies are from PBE-GGA.

Output
Polymorph energy (0 for the lowest one) = 0.0 kJ/mol of atoms

a b c (Å): 6.4331 7.2849 6.1377
angles (deg): 90.00 90.00 90.00
With the nearest neighbours (Å) after each atom.
Space group Pca2_1 (No. 29)
Asymmetric unit:
Zn 0.0667 0.1423 0.0000 x4  1 O 1.97
Cd 0.1083 0.6115 0.9386 x4  3 O 2.23-2.25
S 0.0893 0.1284 0.6206 x4  3 Zn 2.33-2.34, 1 Cd 2.54
O 0.0720 0.6254 0.5784 x4  1 Zn 1.97

---

Entry 3:
Here is a relaxed YHoCd4 crystal from OQMD via LeMat-Bulk. Energies are from PBE-GGA.

Output
Formation energy from the elements = -0.3318 eV per atom
Polymorph energy (0 for the lowest one) = 0.2 kJ/mol of atoms

a b c (Å): 3.4008 4.9414 8.5534
angles (deg): 90.00 90.03 90.00
With the nearest neighbours (Å) after each atom.
Space group P2/m (No. 10)
Asymmetric unit:
Y 0.0000 0.0000 0.0000 x1  12 Cd 3.31-3.33, 2 Y 3.40
Ho 0.0000 0.5000 0.5000 x1  12 Cd 3.31-3.33, 2 Ho 3.40
Cd 0.4942 0.0000 0.6665 x2  3 Cd 2.85
Cd 0.4942 0.5000 0.1667 x2  3 Cd 2.85

---

Entry 4:
Here is a relaxed TbZn2Au2 crystal from OQMD via LeMat-Bulk. Energies are from PBE-GGA.

Output
Formation energy from the elements = -0.5498 eV per atom

a b c (Å): 3.9489 3.9489 12.6693
angles (deg): 90.00 90.00 90.00
With the nearest neighbours (Å) after each atom.
Space group I4/mmm (No. 139)
Asymmetric unit:
Tb 0.0000 0.0000 0.0000 x2  8 Au 3.11
Zn 0.0000 0.5000 0.2500 x4  4 Au 2.66, 4 Zn 2.79
Au 0.0000 0.0000 0.3911 x4  4 Zn 2.66, 1 Au 2.76

---

Entry 5:
Here is a relaxed NaLiCdO2 crystal from OQMD via LeMat-Bulk. Energies are from PBE-GGA.

Output
Raw total energy = -4.14 eV per atom

a b c (Å): 3.3875 3.3875 6.1736
angles (deg): 90.00 90.00 120.00
With the nearest neighbours (Å) after each atom.
Space group P3m1 (No. 156)
Asymmetric unit:
Na 0.0000 0.0000 0.0000 x1  6 O 2.38-2.49, 3 Li 2.57
Li 0.3333 0.6667 0.2698 x1  3 O 1.96
Cd 0.6667 0.3333 0.6042 x1  4 O 2.18-2.24
O 0.3333 0.6667 0.7804 x1  3 Cd 2.24, 3 Na 2.38
O 0.6667 0.3333 0.2508 x1  3 Li 1.96, 1 Cd 2.18

---

Entry 6:
Here is a relaxed PaSe crystal from OQMD via LeMat-Bulk. Energies are from PBE-GGA.

Output
Polymorph energy (0 for the lowest one) = 86.3 kJ/mol of atoms

a b c (Å): 6.4951 6.4951 6.4951
angles (deg): 90.00 90.00 90.00
With the nearest neighbours (Å) after each atom.
Space group F-43m (No. 216)
Asymmetric unit:
Pa 0.0000 0.0000 0.0000 x4  4 Se 2.81
Se 0.2500 0.2500 0.7500 x4  4 Pa 2.81

---

Entry 7:
Here is a relaxed ZnCuB crystal from OQMD via LeMat-Bulk. Energies are from PBE-GGA.

Output
Raw total energy = -3.15 eV per atom

a b c (Å): 5.3252 5.3252 5.3252
angles (deg): 90.00 90.00 90.00
With the nearest neighbours (Å) after each atom.
Space group F-43m (No. 216)
Asymmetric unit:
Zn 0.0000 0.0000 0.0000 x4  4 Cu 2.31
Cu 0.2500 0.2500 0.7500 x4  4 Zn 2.31, 4 B 2.31
B 0.0000 0.0000 0.5000 x4  4 Cu 2.31

---

Entry 8:
Here is a relaxed DyLuPt crystal from OQMD via LeMat-Bulk. Energies are from PBE-GGA.

Output
Formation energy from the elements = -0.1268 eV per atom
Polymorph energy (0 for the lowest one) = 0.0 kJ/mol of atoms

a b c (Å): 6.6491 6.6491 6.6491
angles (deg): 90.00 90.00 90.00
With the nearest neighbours (Å) after each atom.
Space group F-43m (No. 216)
Asymmetric unit:
Dy 0.0000 0.0000 0.0000 x4  4 Lu 2.88
Lu 0.2500 0.2500 0.2500 x4  4 Pt 2.88, 4 Dy 2.88
Pt 0.0000 0.0000 0.5000 x4  4 Lu 2.88

---

Entry 9:
Here is a relaxed TmSnAuSe3 crystal from OQMD via LeMat-Bulk. Energies are from PBE-GGA.

Output
Polymorph energy (0 for the lowest one) = 0.0 kJ/mol of atoms

a b c (Å): 10.1771 4.1455 15.3805
angles (deg): 90.00 90.00 90.00
With the nearest neighbours (Å) after each atom.
Space group Pnma (No. 62)
Asymmetric unit:
Tm 0.1754 0.2500 0.0230 x4  6 Se 2.79-2.98
Sn 0.0288 0.7500 0.2900 x4  3 Se 2.84-2.86, 2 Au 3.02
Au 0.2360 0.2500 0.3283 x4  2 Se 2.46-2.47
Se 0.0215 0.7500 0.1055 x4  3 Tm 2.82-2.89, 1 Sn 2.84
Se 0.1530 0.2500 0.4791 x4  1 Au 2.47
Se 0.1610 0.7500 0.6838 x4  1 Au 2.46

---

Entry 10:
Here is a relaxed KAg3PbSe4 crystal from OQMD via LeMat-Bulk. Energies are from PBE-GGA.

Output
Raw total energy = -3.24 eV per atom

a b c (Å): 6.7074 6.7074 6.7074
angles (deg): 90.00 90.00 90.00
With the nearest neighbours (Å) after each atom.
Space group P-43m (No. 215)
Asymmetric unit:
K 0.0000 0.0000 0.0000 x1  4 Se 3.18
Ag 0.0000 0.5000 0.5000 x3  4 Se 2.82
Pb 0.5000 0.5000 0.5000 x1  4 Se 2.63
Se 0.2737 0.2737 0.2737 x4  1 Pb 2.63, 3 Ag 2.82

---

Entry 11:
Here is a relaxed Nd2Ta crystal from OQMD via LeMat-Bulk. Energies are from PBE-GGA.

Output
Formation energy from the elements = 2.1225 eV per atom
Polymorph energy (0 for the lowest one) = 94.7 kJ/mol of atoms

a b c (Å): 12.2256 12.2256 12.2256
angles (deg): 90.00 90.00 90.00
With the nearest neighbours (Å) after each atom.
Space group Fd-3m (No. 227, origin choice 2)
Asymmetric unit:
Nd 0.0000 0.0000 0.0000 x16  2 Ta 2.65
Ta 0.1250 0.1250 0.1250 x8  4 Nd 2.65

---

Entry 12:
Here is a relaxed LaLu2S3 crystal from OQMD via LeMat-Bulk. Energies are from PBE-GGA.

Output
Raw total energy = -6.38 eV per atom

a b c (Å): 3.8731 3.8731 9.8291
angles (deg): 90.00 90.00 120.00
With the nearest neighbours (Å) after each atom.
Space group P-3m1 (No. 164)
Asymmetric unit:
La 0.0000 0.0000 0.0000 x1  6 S 2.93
Lu 0.3333 0.6667 0.6605 x2  6 S 2.66-2.74
S 0.0000 0.0000 0.5000 x1  6 Lu 2.74
S 0.3333 0.6667 0.1926 x2  3 Lu 2.66, 3 La 2.93